(1)
## SbOsSe2Br (PBE-GGA)

Data for an optimized crystal structure of SbOsSe2Br.

Lattice parameters (Å, degrees): 4.875 4.875 5.067 90.00 90.00 90.00
Fractional positions:
1 Sb 0.500 0.500 0.500
2 Br 0.000 0.000 0.500
3 Se 0.000 0.500 0.000
4 Se 0.500 0.000 0.000
5 Os 0.000 0.000 0.000

Values from the calculation:
E_form (uncorrected), eV per formula unit: 2.71
Space group: P4/mmm (123)

(2)
## Sm3Dy7Ho (PBE-GGA)

Data for an optimized crystal structure of Sm3Dy7Ho.

Lattice parameters (Å, degrees): 8.637 7.058 7.058 120.00 90.00 90.00
Fractional positions:
1 Sm 0.783 0.500 0.000
2 Ho 0.445 0.333 0.667
3 Dy 0.447 0.832 0.665
4 Sm 0.783 0.500 0.500
5 Dy 0.119 0.168 0.335
6 Dy 0.119 0.168 0.832
7 Dy 0.447 0.832 0.168
8 Sm 0.783 0.000 0.500
9 Dy 0.447 0.335 0.168
10 Dy 0.119 0.665 0.832
11 Dy 0.122 0.667 0.333

Values from the calculation:
Space group: P3m1 (156)
DFT formation energy, eV per atom: 0.18

(3)
## Tl2AgAu2 (PBE-GGA)

Data for an optimized crystal structure of Tl2AgAu2.

Lattice parameters (Å, degrees): 4.659 4.659 8.065 73.21 73.21 60.00
Fractional positions:
1 Au 0.292 0.292 0.125
2 Au 0.708 0.708 0.875
3 Tl 0.428 0.428 0.715
4 Ag 0.000 0.000 0.000
5 Tl 0.572 0.572 0.285

Values from the calculation:
Space group: R-3m (166)
DFT formation energy, eV per atom: 0.06

(4)
## Tb2TmPuS6 (PBE-GGA)

Data for an optimized crystal structure of Tb2TmPuS6.

Lattice parameters (Å, degrees): 6.926 6.926 7.385 62.03 62.03 60.00
Site moments in Bohr magnetons follow the coordinates.
Fractional positions:
1 S 0.923 0.610 0.250  -0.03
2 Tb 0.016 0.016 0.951  0.02
3 Tb 0.518 0.518 0.447  0.02
4 S 0.610 0.217 0.250  -0.03
5 S 0.413 0.712 0.755  -0.03
6 S 0.217 0.923 0.250  -0.03
7 Tm 0.317 0.317 0.048  0.01
8 S 0.120 0.413 0.755  -0.03
9 S 0.712 0.120 0.755  -0.03
10 Pu 0.816 0.816 0.553  5.01

Values from the calculation:
E_form (uncorrected), eV per formula unit: -19.17
Space group: R3 (146)

(5)
## GdPaGaHg (PBE-GGA)

Data for an optimized crystal structure of GdPaGaHg.

Lattice parameters (Å, degrees): 5.205 5.205 5.205 60.00 60.00 60.00
Site moments in Bohr magnetons follow the coordinates.
Fractional positions:
1 Hg 0.750 0.750 0.750  0.03
2 Pa 0.000 0.000 0.000  0.75
3 Gd 0.500 0.500 0.500  -7.08
4 Ga 0.250 0.250 0.250  0.05

Values from the calculation:
Space group: F-43m (216)
DFT formation energy, eV per atom: -0.14

(6)
## Sm2AuI2 (PBE-GGA)

Data for an optimized crystal structure of Sm2AuI2.

Lattice parameters (Å, degrees): 4.201 4.201 12.168 80.06 80.06 60.00
Fractional positions:
1 I 0.776 0.776 0.673
2 Au 0.000 0.000 0.000
3 Sm 0.617 0.617 0.149
4 Sm 0.383 0.383 0.851
5 I 0.224 0.224 0.327

Values from the calculation:
E_form (uncorrected), eV per formula unit: -5.42
Space group: R-3m (166)

no.,energy (eV for the cell shown),spin magnetization (μB per formula unit),Fermi-level density of states (states/eV per cell)
1,-21.3,0.00,4.3
2,-49.0,0.00,16.6
3,-13.8,0.00,2.1
4,-72.0,5.00,11.8
5,-27.5,6.35,5.4
6,-21.2,0.00,4.3